Here is a geometry-optimized Sm12Tm7Zr structure from Alexandria. Energies are from PBE-GGA.

Properties
- Calculated total energy: -4.5768 eV/atom
- E above lowest polymorph: 17 meV/atom

a b c (Å): 9.963 9.963 9.963
angles (deg): 112.90 112.90 112.90
Sites, in units of the cell vectors:
Sm 0.000 0.284 0.716
Sm 0.000 0.716 0.284
Sm 0.152 0.152 0.449
Sm 0.152 0.449 0.152
Sm 0.284 0.000 0.716
Sm 0.284 0.716 0.000
Sm 0.449 0.152 0.152
Sm 0.551 0.848 0.848
Sm 0.716 0.000 0.284
Sm 0.716 0.284 0.000
Sm 0.848 0.551 0.848
Sm 0.848 0.848 0.551
Tm 0.000 0.000 0.000
Tm 0.112 0.450 0.450
Tm 0.450 0.112 0.450
Tm 0.450 0.450 0.112
Tm 0.550 0.550 0.888
Tm 0.550 0.888 0.550
Tm 0.888 0.550 0.550
Zr 0.500 0.500 0.500

=====

Here is a geometry-optimized SmTmZr structure from Alexandria. Energies are from PBE-GGA.

Properties
- Calculated total energy: -5.8255 eV/atom
- E above lowest polymorph: 0 meV/atom

a b c (Å): 7.785 7.785 7.785
angles (deg): 154.80 154.80 35.93
Sites, in units of the cell vectors:
Sm 0.000 0.000 0.000
Tm 0.688 0.688 0.000
Zr 0.339 0.339 0.000

=====

Here is a geometry-optimized Sm2Tm8Zr structure from Alexandria. Energies are from PBE-GGA.

Properties
- Calculated total energy: -4.6854 eV/atom

a b c (Å): 8.829 8.829 6.539
angles (deg): 101.46 101.46 42.72
Sites, in units of the cell vectors:
Sm 0.187 0.187 0.315
Sm 0.813 0.813 0.685
Tm 0.176 0.663 0.110
Tm 0.244 0.244 0.828
Tm 0.337 0.824 0.890
Tm 0.409 0.409 0.587
Tm 0.591 0.591 0.413
Tm 0.663 0.176 0.110
Tm 0.756 0.756 0.172
Tm 0.824 0.337 0.890
Zr 0.000 0.000 0.500